[1]
Density functional theory data (PBE) for an optimized crystal structure of CaPm3Nd6.

Calculated values
As for the density of states at the Fermi level: 25.248 states/eV/cell. Its theoretical density is 6149 kg/m³. The formation energy comes out at 1.95 eV per formula unit. The total energy comes out at -4.29 eV/atom.

a b c (Å): 9.675 12.613 5.933
angles (deg): 90.00 90.00 90.00
Positions (direct):
Ca (0.000, 0.000, 0.000)
Ca (0.500, 0.500, 0.500)
Pm (0.000, 0.500, 0.000)
Pm (0.192, 0.242, 0.500)
Pm (0.308, 0.742, 0.000)
Pm (0.500, 0.000, 0.500)
Pm (0.692, 0.258, 0.000)
Pm (0.808, 0.758, 0.500)
Nd (0.032, 0.254, 0.000)
Nd (0.148, 0.603, 0.500)
Nd (0.151, 0.890, 0.500)
Nd (0.349, 0.390, 0.000)
Nd (0.352, 0.103, 0.000)
Nd (0.468, 0.754, 0.500)
Nd (0.532, 0.246, 0.500)
Nd (0.648, 0.897, 0.000)
Nd (0.651, 0.610, 0.000)
Nd (0.849, 0.110, 0.500)
Nd (0.852, 0.397, 0.500)
Nd (0.968, 0.746, 0.000)



[2]
Density functional theory data (PBE) for an optimized crystal structure of Ca2Pm5Nd5.

Calculated values
As for the density of states at the Fermi level: 18.249 states/eV/cell. Its theoretical density is 5935 kg/m³. The formation energy comes out at 0.59 eV per formula unit. The total energy comes out at -4.25 eV/atom.

a b c (Å): 8.244 8.244 11.664
angles (deg): 114.85 114.85 36.94
Positions (direct):
Ca (0.083, 0.083, 0.250)
Ca (0.917, 0.917, 0.750)
Pm (0.000, 0.000, 0.500)
Pm (0.172, 0.172, 0.001)
Pm (0.246, 0.246, 0.750)
Pm (0.754, 0.754, 0.250)
Pm (0.828, 0.828, 0.999)
Nd (0.334, 0.334, 0.496)
Nd (0.412, 0.412, 0.249)
Nd (0.500, 0.500, 0.000)
Nd (0.588, 0.588, 0.751)
Nd (0.666, 0.666, 0.504)



[3]
Density functional theory data (PBE) for an optimized crystal structure of CaPmNd6.

Calculated values
As for the density of states at the Fermi level: 12.457 states/eV/cell. Its theoretical density is 6113 kg/m³. The formation energy comes out at 0.32 eV per formula unit. The total energy comes out at -4.38 eV/atom.

a b c (Å): 5.232 5.232 10.425
angles (deg): 90.00 90.00 90.00
Positions (direct):
Ca (0.000, 0.000, 0.000)
Pm (0.000, 0.000, 0.500)
Nd (0.000, 0.500, 0.256)
Nd (0.000, 0.500, 0.744)
Nd (0.500, 0.000, 0.256)
Nd (0.500, 0.000, 0.744)
Nd (0.500, 0.500, 0.000)
Nd (0.500, 0.500, 0.500)